A relaxed LaNi2Br crystal, computed with GGA-PBE.

a b c (Å): 5.0482 5.0482 5.0482
angles (deg): 133.00 113.47 85.39
Atoms (fractional coordinates):
Ni: 0.9355 0.9355 0.0000
Br: 0.5547 0.5547 0.0000
La: 0.2265 0.7265 0.5000
Ni: 0.7833 0.2833 0.5000

Computed properties:
Formation energy (no corrections)   -0.224 eV/atom
V   20.68 Å³ per atom
Raw total energy   -19.06 eV/cell